No. 1
This record from OQMD describes a relaxed ZnRe crystal. The functional is PBE.

a = 4.4089 Å, b = 8.4340 Å, c = 4.6652 Å
α = 90.00°, β = 90.00°, γ = 90.00°
Space group Pmc2_1 (No. 26)
Asymmetric unit:
Zn (0.0000, 0.0759, 0.0000) x2
Zn (0.5000, 0.0806, 0.6700) x2
Zn (0.5000, 0.4182, 0.6767) x2
Re (0.0000, 0.2663, 0.5030) x2
Re (0.0000, 0.4045, 0.0135) x2
Re (0.5000, 0.2548, 0.1762) x2

Properties
Calculated density: 14.5 g cm⁻³
Energy of formation: 0.4 eV per formula unit
ΔE to the lowest computed polymorph: 0.108 eV/atom

No. 2
This record from OQMD describes a relaxed ZnRe crystal. The functional is PBE.

a = 5.3596 Å, b = 4.4955 Å, c = 7.3102 Å
α = 90.00°, β = 100.38°, γ = 90.00°
Space group P2_1/m (No. 11)
Asymmetric unit:
Zn (0.0584, 0.2500, 0.2335) x2
Zn (0.1211, 0.7500, 0.4528) x2
Zn (0.3979, 0.2500, 0.5616) x2
Re (0.2130, 0.2500, 0.8867) x2
Re (0.2633, 0.7500, 0.1064) x2
Re (0.4513, 0.7500, 0.7929) x2

Properties
Calculated density: 14.5 g cm⁻³
Energy of formation: 0.4 eV per formula unit
ΔE to the lowest computed polymorph: 0.074 eV/atom

No. 3
This record from OQMD describes a relaxed ZnRe crystal. The functional is PBE.

a = 5.2715 Å, b = 4.4180 Å, c = 7.4933 Å
α = 90.00°, β = 99.01°, γ = 90.00°
Space group P2_1/m (No. 11)
Asymmetric unit:
Zn (0.0248, 0.2500, 0.1093) x2
Zn (0.1349, 0.7500, 0.5545) x2
Zn (0.3664, 0.2500, 0.4462) x2
Re (0.1944, 0.2500, 0.7752) x2
Re (0.2915, 0.7500, 0.2231) x2
Re (0.4760, 0.7500, 0.8914) x2

Properties
Calculated density: 14.5 g cm⁻³
Energy of formation: 0.4 eV per formula unit
ΔE to the lowest computed polymorph: 0.095 eV/atom

No. 4
This record from OQMD describes a relaxed Zn2Re crystal. The functional is PBE.

a = 11.3124 Å, b = 11.3124 Å, c = 11.3124 Å
α = 90.00°, β = 90.00°, γ = 90.00°
Space group Fd-3m (No. 227, origin choice 2)
Asymmetric unit:
Zn (0.0000, 0.0000, 0.0000) x16
Re (0.1250, 0.1250, 0.1250) x8

Properties
Calculated density: 2.9 g cm⁻³
Energy of formation: 6.4 eV per formula unit
ΔE to the lowest computed polymorph: 2.007 eV/atom

No. 5
This record from OQMD describes a relaxed Zn2Re crystal. The functional is PBE.

a = 4.4037 Å, b = 7.9892 Å, c = 4.8353 Å
α = 90.00°, β = 90.00°, γ = 90.00°
Space group Pmmn (No. 59, origin choice 2)
Asymmetric unit:
Zn (0.2500, 0.0788, 0.0824) x4
Zn (0.2500, 0.2500, 0.5939) x2
Zn (0.2500, 0.7500, 0.0611) x2
Re (0.2500, 0.5825, 0.5715) x4

Properties
Calculated density: 12.4 g cm⁻³
Energy of formation: 0.4 eV per formula unit
ΔE to the lowest computed polymorph: 0.000 eV/atom

No. 6
This record from OQMD describes a relaxed Zr2Re crystal. The functional is PBE.

a = 11.3194 Å, b = 11.3194 Å, c = 11.3194 Å
α = 90.00°, β = 90.00°, γ = 90.00°
Space group Fd-3m (No. 227, origin choice 2)
Asymmetric unit:
Zr (0.0000, 0.0000, 0.0000) x16
Re (0.1250, 0.1250, 0.1250) x8

Properties
Calculated density: 3.4 g cm⁻³
Energy of formation: 6.8 eV per formula unit